LiNi2HPt GGA-PBE optimized geometry; final energy = -4.73 eV per atom; total magnetization = 1.1 μB/f.u.
1.0
3.6493 0.0000 0.0000
0.0000 3.6493 0.0000
0.0000 0.0000 3.8861
Li Ni H Pt
1 2 1 1
Direct
0.0000 0.0000 0.0000
0.0000 0.5000 0.5000
0.5000 0.0000 0.5000
0.5000 0.5000 0.5000
0.5000 0.5000 0.0000